No. 1
Material: SrBeCoGe2
Method: DFT, meta-GGA SCAN
State: single point on PBEsol structure

DFT formation energy = 2137 meV/atom
uncorrected energy = -14.28 eV/atom

Cell: 5.435 5.435 4.529 Å, 90.00 90.00 90.00°
Fractional coordinates of all 5 atoms:
Sr (0.000, 0.000, 0.000)
Be (0.500, 0.500, 0.500)
Co (0.000, 0.000, 0.500)
Ge (0.000, 0.500, 0.000)
Ge (0.500, 0.000, 0.000)

***

No. 2
Material: Be2CoHSe
Method: DFT, meta-GGA SCAN
State: single point on PBEsol structure

uncorrected energy = -9.10 eV/atom

Cell: 4.121 4.121 4.099 Å, 90.00 90.00 90.00°
Fractional coordinates of all 5 atoms:
Be (0.000, 0.500, 0.000)
Be (0.500, 0.000, 0.000)
Co (0.000, 0.000, 0.000)
H (0.500, 0.500, 0.500)
Se (0.000, 0.000, 0.500)